DFT (PBE) results for crystalline Zn3ReO3 at its relaxed geometry.

abc: 5.788 5.788 5.788
angles: 90.00 90.00 90.00
Site moments in Bohr magnetons follow the coordinates.
Element x y z (fractional)
Zn 0.250 0.000 0.500  0.01
Zn 0.750 0.000 0.500  0.01
Zn 0.000 0.500 0.250  0.01
Zn 0.000 0.500 0.750  0.01
Zn 0.500 0.250 0.000  0.01
Zn 0.500 0.750 0.000  0.01
Re 0.000 0.000 0.000  3.80
Re 0.500 0.500 0.500  3.80
O 0.250 0.500 0.000  0.11
O 0.750 0.500 0.000  0.11
O 0.500 0.000 0.250  0.11
O 0.500 0.000 0.750  0.11
O 0.000 0.250 0.500  0.11
O 0.000 0.750 0.500  0.11

Calculated values
Symmetry: No. 223
Energy: -31.99 eV/f.u.
D(E_F): 6.64 states/eV/cell
Calculated density: 7.37 g cm⁻³